Model i:
GaSb: relaxed, GGA-PBE.

Calculated values
Mass density: 4.23 Mg/m³
Symmetry: Pm-3n, No. 223
Fermi-level density of states: 0.27 states/eV/f.u.

abc: 7.6698 7.6698 7.6698
angles: 90.00 90.00 90.00
Closest atoms and distances in Å follow each position.
Fractional coordinates of all 12 atoms:
Ga  0.2500  0.0000  0.5000  4 Sb 2.71
Ga  0.7500  0.0000  0.5000  4 Sb 2.71
Ga  0.0000  0.5000  0.2500  4 Sb 2.71
Ga  0.0000  0.5000  0.7500  4 Sb 2.71
Ga  0.5000  0.2500  0.0000  4 Sb 2.71
Ga  0.5000  0.7500  0.0000  4 Sb 2.71
Sb  0.2500  0.5000  0.0000  4 Ga 2.71
Sb  0.7500  0.5000  0.0000  4 Ga 2.71
Sb  0.5000  0.0000  0.2500  4 Ga 2.71
Sb  0.5000  0.0000  0.7500  4 Ga 2.71
Sb  0.0000  0.2500  0.5000  4 Ga 2.71
Sb  0.0000  0.7500  0.5000  4 Ga 2.71

***

Model ii:
GaSb: relaxed, GGA-PBE.

Calculated values
Mass density: 3.96 Mg/m³
Symmetry: Fddd, No. 70
Fermi-level density of states: 0.04 states/eV/f.u.

abc: 11.8692 11.9861 9.0200
angles: 90.00 90.00 90.00
Closest atoms and distances in Å follow each position.
Fractional coordinates of all 32 atoms:
Ga  0.6519  0.0000  0.0000  4 Sb 2.71-2.74
Ga  0.3481  0.0000  0.0000  4 Sb 2.71-2.74
Ga  0.5981  0.7500  0.2500  4 Sb 2.71-2.74
Ga  0.9019  0.7500  0.2500  4 Sb 2.71-2.74
Ga  0.6519  0.5000  0.5000  4 Sb 2.71-2.74
Ga  0.3481  0.5000  0.5000  4 Sb 2.71-2.74
Ga  0.5981  0.2500  0.7500  4 Sb 2.71-2.74
Ga  0.9019  0.2500  0.7500  4 Sb 2.71-2.74
Ga  0.1519  0.0000  0.5000  4 Sb 2.71-2.74
Ga  0.8481  0.0000  0.5000  4 Sb 2.71-2.74
Ga  0.0981  0.7500  0.7500  4 Sb 2.71-2.74
Ga  0.4019  0.7500  0.7500  4 Sb 2.71-2.74
Ga  0.1519  0.5000  0.0000  4 Sb 2.71-2.74
Ga  0.8481  0.5000  0.0000  4 Sb 2.71-2.74
Ga  0.0981  0.2500  0.2500  4 Sb 2.71-2.74
Ga  0.4019  0.2500  0.2500  4 Sb 2.71-2.74
Sb  0.0000  0.6718  0.0000  4 Ga 2.71-2.74
Sb  0.0000  0.3282  0.0000  4 Ga 2.71-2.74
Sb  0.2500  0.0782  0.2500  4 Ga 2.71-2.74
Sb  0.2500  0.4218  0.2500  4 Ga 2.71-2.74
Sb  0.0000  0.1718  0.5000  4 Ga 2.71-2.74
Sb  0.0000  0.8282  0.5000  4 Ga 2.71-2.74
Sb  0.2500  0.5782  0.7500  4 Ga 2.71-2.74
Sb  0.2500  0.9218  0.7500  4 Ga 2.71-2.74
Sb  0.5000  0.6718  0.5000  4 Ga 2.71-2.74
Sb  0.5000  0.3282  0.5000  4 Ga 2.71-2.74
Sb  0.7500  0.0782  0.7500  4 Ga 2.71-2.74
Sb  0.7500  0.4218  0.7500  4 Ga 2.71-2.74
Sb  0.5000  0.1718  0.0000  4 Ga 2.71-2.74
Sb  0.5000  0.8282  0.0000  4 Ga 2.71-2.74
Sb  0.7500  0.5782  0.2500  4 Ga 2.71-2.74
Sb  0.7500  0.9218  0.2500  4 Ga 2.71-2.74

***

Which structure wins on stability? model i wins.

***

Model i:
GaSb: relaxed, GGA-PBE.

Calculated values
Mass density: 4.34 Mg/m³
Symmetry: P4/m, No. 83
Fermi-level density of states: 0.10 states/eV/f.u.

abc: 11.5668 11.5668 4.3790
angles: 90.00 90.00 90.00
Closest atoms and distances in Å follow each position.
Fractional coordinates of all 16 atoms:
Ga  0.7794  0.6554  0.5000  4 Sb 2.70-2.71
Ga  0.2206  0.3446  0.5000  4 Sb 2.70-2.71
Ga  0.3446  0.7794  0.5000  4 Sb 2.70-2.71
Ga  0.6554  0.2206  0.5000  4 Sb 2.70-2.71
Ga  0.9066  0.4294  0.0000  3 Sb 2.67-2.68, 1 Ga 2.71
Ga  0.0934  0.5706  0.0000  3 Sb 2.67-2.68, 1 Ga 2.71
Ga  0.5706  0.9066  0.0000  3 Sb 2.67-2.68, 1 Ga 2.71
Ga  0.4294  0.0934  0.0000  3 Sb 2.67-2.68, 1 Ga 2.71
Sb  0.7754  0.4208  0.5000  4 Ga 2.67-2.71
Sb  0.2246  0.5792  0.5000  4 Ga 2.67-2.71
Sb  0.5792  0.7754  0.5000  4 Ga 2.67-2.71
Sb  0.4208  0.2246  0.5000  4 Ga 2.67-2.71
Sb  0.9062  0.7078  0.0000  3 Ga 2.68-2.70
Sb  0.0938  0.2922  0.0000  3 Ga 2.68-2.70
Sb  0.2922  0.9062  0.0000  3 Ga 2.68-2.70
Sb  0.7078  0.0938  0.0000  3 Ga 2.68-2.70

***

Model ii:
GaSb: relaxed, GGA-PBE.

Calculated values
Mass density: 4.47 Mg/m³
Symmetry: P2_12_12_1, No. 19
Fermi-level density of states: 0.06 states/eV/f.u.

abc: 7.9134 7.9749 9.0138
angles: 90.00 90.00 90.00
Closest atoms and distances in Å follow each position.
Fractional coordinates of all 16 atoms:
Ga  0.3476  0.6026  0.0360  4 Sb 2.70-2.74
Ga  0.8476  0.8974  0.9640  4 Sb 2.70-2.74
Ga  0.6524  0.1026  0.4640  4 Sb 2.70-2.74
Ga  0.1524  0.3974  0.5360  4 Sb 2.70-2.74
Ga  0.3681  0.0638  0.7663  4 Sb 2.67-2.75
Ga  0.8681  0.4362  0.2337  4 Sb 2.67-2.75
Ga  0.6319  0.5638  0.7337  4 Sb 2.67-2.75
Ga  0.1319  0.9362  0.2663  4 Sb 2.67-2.75
Sb  0.6934  0.6044  0.0285  4 Ga 2.67-2.74
Sb  0.1934  0.8956  0.9715  4 Ga 2.67-2.74
Sb  0.3066  0.1044  0.4715  4 Ga 2.67-2.74
Sb  0.8066  0.3956  0.5285  4 Ga 2.67-2.74
Sb  0.3365  0.4061  0.7887  4 Ga 2.70-2.75
Sb  0.8365  0.0939  0.2113  4 Ga 2.70-2.75
Sb  0.6635  0.9061  0.7113  4 Ga 2.70-2.75
Sb  0.1635  0.5939  0.2887  4 Ga 2.70-2.75

***

Which structure wins on stability? model ii wins.

***

Model i:
GaSb: relaxed, GGA-PBE.

Calculated values
Mass density: 4.27 Mg/m³
Symmetry: P6_3/m, No. 176
Fermi-level density of states: 0.09 states/eV/f.u.

abc: 10.7422 10.7422 4.4705
angles: 90.00 90.00 120.00
Closest atoms and distances in Å follow each position.
Fractional coordinates of all 12 atoms:
Ga  0.6628  0.0771  0.2500  4 Sb 2.68-2.74
Ga  0.5856  0.6628  0.7500  4 Sb 2.68-2.74
Ga  0.9229  0.5856  0.2500  4 Sb 2.68-2.74
Ga  0.3372  0.9229  0.7500  4 Sb 2.68-2.74
Ga  0.4144  0.3372  0.2500  4 Sb 2.68-2.74
Ga  0.0771  0.4144  0.7500  4 Sb 2.68-2.74
Sb  0.9131  0.3256  0.2500  4 Ga 2.68-2.74
Sb  0.5874  0.9131  0.7500  4 Ga 2.68-2.74
Sb  0.6744  0.5874  0.2500  4 Ga 2.68-2.74
Sb  0.0869  0.6744  0.7500  4 Ga 2.68-2.74
Sb  0.4126  0.0869  0.2500  4 Ga 2.68-2.74
Sb  0.3256  0.4126  0.7500  4 Ga 2.68-2.74

***

Model ii:
GaSb: relaxed, GGA-PBE.

Calculated values
Mass density: 5.01 Mg/m³
Symmetry: P4_2/mnm, No. 136
Fermi-level density of states: 0.07 states/eV/f.u.

abc: 7.5955 7.5955 4.3999
angles: 90.00 90.00 90.00
Closest atoms and distances in Å follow each position.
Fractional coordinates of all 8 atoms:
Ga  0.3244  0.6756  0.0000  4 Sb 2.68-2.72
Ga  0.8244  0.8244  0.5000  4 Sb 2.68-2.72
Ga  0.1756  0.1756  0.5000  4 Sb 2.68-2.72
Ga  0.6756  0.3244  0.0000  4 Sb 2.68-2.72
Sb  0.3181  0.3181  0.0000  4 Ga 2.68-2.72
Sb  0.8181  0.1819  0.5000  4 Ga 2.68-2.72
Sb  0.1819  0.8181  0.5000  4 Ga 2.68-2.72
Sb  0.6819  0.6819  0.0000  4 Ga 2.68-2.72

***

Model iii:
GaSb: relaxed, GGA-PBE.

Calculated values
Mass density: 4.80 Mg/m³
Symmetry: Pmmn, No. 59
Fermi-level density of states: 0.10 states/eV/f.u.

abc: 4.4061 6.7259 13.4180
angles: 90.00 90.00 90.00
Closest atoms and distances in Å follow each position.
Fractional coordinates of all 12 atoms:
Ga  0.0000  0.9011  0.6458  4 Sb 2.68-2.75
Ga  0.5000  0.0989  0.8542  4 Sb 2.68-2.75
Ga  0.5000  0.0989  0.1458  4 Sb 2.68-2.75
Ga  0.0000  0.9011  0.3542  4 Sb 2.68-2.75
Ga  0.0000  0.5980  0.0000  4 Sb 2.68-2.70
Ga  0.5000  0.4019  0.5000  4 Sb 2.68-2.70
Sb  0.0000  0.8650  0.8500  4 Ga 2.70-2.75
Sb  0.5000  0.1350  0.6500  4 Ga 2.70-2.75
Sb  0.5000  0.1350  0.3500  4 Ga 2.70-2.75
Sb  0.0000  0.8650  0.1500  4 Ga 2.70-2.75
Sb  0.0000  0.6289  0.5000  4 Ga 2.68
Sb  0.5000  0.3711  0.0000  4 Ga 2.68

***

Model iv:
GaSb: relaxed, GGA-PBE.

Calculated values
Mass density: 6.64 Mg/m³
Symmetry: Immm, No. 71
Fermi-level density of states: 0.89 states/eV/f.u.

abc: 3.3025 5.7791 5.0185
angles: 90.00 90.00 90.00
Closest atoms and distances in Å follow each position.
Fractional coordinates of all 4 atoms:
Ga  0.0000  0.0000  0.0000  6 Sb 2.89-3.00
Ga  0.5000  0.5000  0.5000  6 Sb 2.89-3.00
Sb  0.5000  0.0000  0.5000  6 Ga 2.89-3.00
Sb  0.0000  0.5000  0.0000  6 Ga 2.89-3.00

***

Which structure wins on stability? model ii wins.

***

Model i:
GaSb: relaxed, GGA-PBE.

Calculated values
Mass density: 4.09 Mg/m³
Symmetry: I-43m, No. 217
Fermi-level density of states: 0.21 states/eV/f.u.

abc: 8.5374 8.5374 8.5374
angles: 90.00 90.00 90.00
Closest atoms and distances in Å follow each position.
Fractional coordinates of all 16 atoms:
Ga  0.1558  0.1558  0.1558  4 Sb 2.66-2.73
Ga  0.1558  0.8442  0.8442  4 Sb 2.66-2.73
Ga  0.8442  0.1558  0.8442  4 Sb 2.66-2.73
Ga  0.8442  0.8442  0.1558  4 Sb 2.66-2.73
Ga  0.6558  0.6558  0.6558  4 Sb 2.66-2.73
Ga  0.6558  0.3442  0.3442  4 Sb 2.66-2.73
Ga  0.3442  0.6558  0.3442  4 Sb 2.66-2.73
Ga  0.3442  0.3442  0.6558  4 Sb 2.66-2.73
Sb  0.3358  0.3358  0.3358  4 Ga 2.66-2.73
Sb  0.3358  0.6642  0.6642  4 Ga 2.66-2.73
Sb  0.6642  0.3358  0.6642  4 Ga 2.66-2.73
Sb  0.6642  0.6642  0.3358  4 Ga 2.66-2.73
Sb  0.8358  0.8358  0.8358  4 Ga 2.66-2.73
Sb  0.8358  0.1642  0.1642  4 Ga 2.66-2.73
Sb  0.1642  0.8358  0.1642  4 Ga 2.66-2.73
Sb  0.1642  0.1642  0.8358  4 Ga 2.66-2.73

***

Model ii:
GaSb: relaxed, GGA-PBE.

Calculated values
Mass density: 6.61 Mg/m³
Symmetry: I-4m2, No. 119
Fermi-level density of states: 0.82 states/eV/f.u.

abc: 4.2123 4.2123 4.2123
angles: 98.06 98.06 136.02
Closest atoms and distances in Å follow each position.
Fractional coordinates of all 2 atoms:
Ga  0.7500  0.2500  0.5000  4 Sb 2.87, 2 Ga 3.15
Sb  0.0000  0.0000  0.0000  4 Ga 2.87, 2 Sb 3.15

***

Model iii:
GaSb: relaxed, GGA-PBE.

Calculated values
Mass density: 4.40 Mg/m³
Symmetry: I4/m, No. 87
Fermi-level density of states: 0.10 states/eV/f.u.

abc: 11.4585 11.4585 4.4048
angles: 90.00 90.00 90.00
Closest atoms and distances in Å follow each position.
Fractional coordinates of all 16 atoms:
Ga  0.3788  0.7915  0.0000  4 Sb 2.68-2.75
Ga  0.6212  0.2085  0.0000  4 Sb 2.68-2.75
Ga  0.2085  0.3788  0.0000  4 Sb 2.68-2.75
Ga  0.7915  0.6212  0.0000  4 Sb 2.68-2.75
Ga  0.8788  0.2915  0.5000  4 Sb 2.68-2.75
Ga  0.1212  0.7085  0.5000  4 Sb 2.68-2.75
Ga  0.7085  0.8788  0.5000  4 Sb 2.68-2.75
Ga  0.2915  0.1212  0.5000  4 Sb 2.68-2.75
Sb  0.3876  0.2188  0.0000  4 Ga 2.68-2.75
Sb  0.6124  0.7812  0.0000  4 Ga 2.68-2.75
Sb  0.7812  0.3876  0.0000  4 Ga 2.68-2.75
Sb  0.2188  0.6124  0.0000  4 Ga 2.68-2.75
Sb  0.8876  0.7188  0.5000  4 Ga 2.68-2.75
Sb  0.1124  0.2812  0.5000  4 Ga 2.68-2.75
Sb  0.2812  0.8876  0.5000  4 Ga 2.68-2.75
Sb  0.7188  0.1124  0.5000  4 Ga 2.68-2.75

***

Which structure wins on stability? model iii wins.